## MnSi2Pt (PBE)

Data for a relaxed MnSi2Pt crystal.

```
MnSi2Pt
1.0
4.971 0.000 0.001
-2.500 4.257 -0.003
-0.028 0.930 2.653
Si Pt Mn
2 1 1
direct
0.500 0.000 0.500
0.000 0.000 0.000
0.500 0.500 0.000
0.000 0.500 0.500
```

Output
**Space group**: C2/m (12)

## MnSi2Pt (PBE)

Data for a relaxed MnSi2Pt crystal.

```
MnSi2Pt
1.0
-0.041 3.819 1.540
-1.450 2.062 3.256
3.875 -0.130 3.050
Si Pt Mn
2 1 1
direct
0.508 0.508 0.458
0.992 0.992 0.042
0.750 0.750 0.750
0.250 0.250 0.250
```

Output
**Space group**: C2/m (12)

## MnSiPt2 (PBE)

Data for a relaxed MnSiPt2 crystal.

```
MnSiPt2
1.0
-1.846 -0.060 2.301
-2.699 -1.634 -2.208
1.798 -4.750 1.317
Mn Pt Si
1 2 1
direct
0.500 0.500 0.778
0.000 0.000 0.961
0.500 0.500 0.292
0.000 0.000 0.469
```

Output
**Space group**: Pmm2 (25)

## MnSiPt2 (PBE)

Data for a relaxed MnSiPt2 crystal.

```
MnSiPt2
1.0
8.319 -0.057 -0.033
7.827 2.817 -0.033
7.827 1.338 2.479
Si Pt Mn
1 2 1
direct
0.250 0.250 0.250
0.994 0.994 0.994
0.506 0.506 0.506
0.750 0.750 0.750
```

Output
**Space group**: R-3m (166)

## MnSi2Pt (PBE)

Data for a relaxed MnSi2Pt crystal.

```
MnSi2Pt
1.0
-1.859 -3.377 -1.600
-3.343 0.427 -2.461
0.298 -0.809 -4.084
Si Pt Mn
2 1 1
direct
0.750 0.750 0.750
0.250 0.250 0.250
0.500 0.500 0.500
0.000 0.000 0.000
```

Output
**Space group**: Fm-3m (225)

## MnSiPt3 (PBE)

Data for a relaxed MnSiPt3 crystal.

```
MnSiPt3
1.0
3.922 0.000 0.001
-0.001 5.419 0.350
0.000 0.445 7.559
Pt Si Mn
6 2 2
direct
0.626 0.423 0.733
0.627 0.405 0.359
0.126 0.142 0.936
0.626 0.813 0.106
0.626 0.921 0.730
0.126 0.719 0.515
0.626 0.298 0.070
0.627 0.947 0.395
0.126 0.205 0.558
0.126 0.642 0.911
```

Output
**Space group**: Pm (6)

## MnSi2Pt (PBE)

Data for a relaxed MnSi2Pt crystal.

```
MnSi2Pt
1.0
4.476 -0.003 0.002
3.450 2.853 0.002
1.053 0.379 4.092
Si Mn Pt
2 1 1
direct
0.998 0.998 0.971
0.245 0.245 0.317
0.512 0.512 0.408
0.744 0.744 0.805
```

Output
**Space group**: Cm (8)

## MnSi2Pt (PBE)

Data for a relaxed MnSi2Pt crystal.

```
MnSi2Pt
1.0
-0.526 2.480 -2.670
-2.705 0.063 0.592
0.875 4.052 3.592
Mn Si Pt
1 2 1
direct
0.500 0.250 0.250
0.000 0.750 0.466
0.000 0.750 0.034
0.500 0.750 0.750
```

Output
**Space group**: Pmmm (47)

## MnSi2Pt (PBE)

Data for a relaxed MnSi2Pt crystal.

```
MnSi2Pt
1.0
2.968 0.005 0.000
-0.008 2.968 0.000
0.000 0.000 5.714
Si Pt Mn
2 1 1
direct
0.000 0.000 0.029
0.000 0.000 0.471
0.500 0.500 0.750
0.500 0.500 0.250
```

Output
**Space group**: P4/mmm (123)

## MnSiPt3 (PBE)

Data for a relaxed MnSiPt3 crystal.

```
MnSiPt3
1.0
4.568 0.000 0.000
0.000 4.568 0.000
0.000 0.000 4.568
Pt Si Mn
3 1 1
direct
0.500 0.000 0.000
0.000 0.000 0.500
0.000 0.500 0.000
0.500 0.500 0.500
0.000 0.000 0.000
```

Output
**Space group**: Pm-3m (221)

## MnSiPt2 (PBE)

Data for a relaxed MnSiPt2 crystal.

```
MnSiPt2
1.0
-1.126 1.790 1.873
-2.529 -1.203 -0.370
1.401 -4.533 5.173
Pt Si Mn
2 1 1
direct
0.500 0.500 0.288
0.000 0.000 0.978
0.000 0.000 0.510
0.500 0.500 0.724
```

Output
**Space group**: P4mm (99)

## MnSiPt2 (PBE)

Data for a relaxed MnSiPt2 crystal.

```
MnSiPt2
1.0
3.831 0.000 0.000
0.000 2.852 -0.001
0.000 1.430 5.349
Mn Pt Si
1 2 1
direct
0.500 0.699 0.727
0.000 0.074 0.975
0.500 0.428 0.268
0.000 0.298 0.530
```

Output
**Space group**: Amm2 (38)

## MnSiPt5 (PBE)

Data for a relaxed MnSiPt5 crystal.

```
MnSiPt5
1.0
3.939 0.000 0.000
0.000 3.939 0.000
0.000 0.000 6.990
Pt Mn Si
5 1 1
direct
0.500 0.000 0.788
0.000 0.500 0.788
0.000 0.500 0.212
0.500 0.000 0.212
0.500 0.500 0.500
0.000 0.000 0.500
0.500 0.500 0.000
```

Output
**Space group**: P4/mmm (123)

## MnSi2Pt (PBE)

Data for a relaxed MnSi2Pt crystal.

```
MnSi2Pt
1.0
4.504 0.000 0.000
0.000 2.803 0.001
0.000 -0.001 4.242
Si Pt Mn
2 1 1
direct
0.000 0.875 0.015
0.500 0.375 0.246
0.500 0.875 0.749
0.000 0.375 0.490
```

Output
**Space group**: Pmm2 (25)

Raw formation energy per entry: -130, -310, -362, -288, -221, -458, -388, -284, -333, 1065, -332, -413, -522, -333 meV/atom
Spin magnetization per entry: 0.601, 0.262, 1.032, 1.037, 0.274, 0.882, 0.210, 0.537, 0.000, 0.000, 0.733, 0.811, 0.583, 0.469 μB per atom